1.
TmLuCd2: relaxed, PBE.

As for the density of states at the Fermi level: 2.88 states/eV/f.u. Its total DFT energy (no corrections) is -12.05 eV per formula unit.

a b c (Å): 5.1873 5.1873 3.7117
angles (deg): 90.00 90.00 90.00
Fractional coordinates of all 4 atoms:
Tm  0.0000  0.0000  0.0000
Lu  0.5000  0.5000  0.0000
Cd  0.0000  0.5000  0.5000
Cd  0.5000  0.0000  0.5000

2.
SrLiTl2Au: relaxed, PBE.

As for the density of states at the Fermi level: 1.08 states/eV/f.u. Its total DFT energy (no corrections) is -12.86 eV per formula unit.

a b c (Å): 5.1094 5.1094 5.0160
angles (deg): 90.00 90.00 90.00
Fractional coordinates of all 5 atoms:
Sr  0.0000  0.0000  0.0000
Li  0.5000  0.5000  0.5000
Tl  0.0000  0.5000  0.5000
Tl  0.5000  0.0000  0.5000
Au  0.5000  0.5000  0.0000

3.
BaPm2Pb9: relaxed, PBE.

As for the density of states at the Fermi level: 6.21 states/eV/f.u. Its total DFT energy (no corrections) is -49.14 eV per formula unit.

a b c (Å): 5.0152 5.0152 14.8183
angles (deg): 90.00 90.00 90.00
Fractional coordinates of all 12 atoms:
Ba  0.0000  0.0000  0.0000
Pm  0.0000  0.0000  0.3400
Pm  0.0000  0.0000  0.6600
Pb  0.0000  0.5000  0.1761
Pb  0.0000  0.5000  0.5000
Pb  0.0000  0.5000  0.8239
Pb  0.5000  0.0000  0.1761
Pb  0.5000  0.0000  0.5000
Pb  0.5000  0.0000  0.8239
Pb  0.5000  0.5000  0.0000
Pb  0.5000  0.5000  0.3369
Pb  0.5000  0.5000  0.6631

4.
Ce6InRh: relaxed, PBE.

As for the density of states at the Fermi level: 24.49 states/eV/f.u. Its total DFT energy (no corrections) is -46.95 eV per formula unit.

a b c (Å): 6.1992 6.1992 6.3157
angles (deg): 101.40 101.40 101.78
Fractional coordinates of all 8 atoms:
Ce  0.0872  0.6678  0.6919
Ce  0.3177  0.3177  0.9003
Ce  0.3322  0.9128  0.3081
Ce  0.6678  0.0872  0.6919
Ce  0.6823  0.6823  0.0997
Ce  0.9128  0.3322  0.3081
In  0.5000  0.5000  0.5000
Rh  0.0000  0.0000  0.0000

5.
HfTlInBr6: relaxed, PBE.

As for the density of states at the Fermi level: 0.00 states/eV/f.u. Its total DFT energy (no corrections) is -35.33 eV per formula unit. For the uncorrected formation energy, the calculation gives -1.138 eV/atom.

a b c (Å): 7.8864 7.8864 13.1170
angles (deg): 90.00 90.00 120.00
Fractional coordinates of all 18 atoms:
Hf  0.3333  0.6667  0.2500
Hf  0.6667  0.3333  0.7500
Tl  0.0000  0.0000  0.0000
Tl  0.0000  0.0000  0.5000
In  0.3333  0.6667  0.7500
In  0.6667  0.3333  0.2500
Br  0.0604  0.3957  0.1340
Br  0.0604  0.6647  0.3660
Br  0.3353  0.3957  0.3660
Br  0.3353  0.9396  0.1340
Br  0.3957  0.0604  0.6340
Br  0.3957  0.3353  0.8660
Br  0.6043  0.6647  0.1340
Br  0.6043  0.9396  0.3660
Br  0.6647  0.0604  0.8660
Br  0.6647  0.6043  0.6340
Br  0.9396  0.3353  0.6340
Br  0.9396  0.6043  0.8660

6.
CrSi2W: relaxed, PBE.

As for the density of states at the Fermi level: 1.61 states/eV/f.u. Its total DFT energy (no corrections) is -34.47 eV per formula unit. For the uncorrected formation energy, the calculation gives -0.262 eV/atom.

a b c (Å): 3.1079 3.1079 5.4147
angles (deg): 90.00 90.00 90.00
Fractional coordinates of all 4 atoms:
Cr  0.0000  0.0000  0.0000
Si  0.0000  0.0000  0.4652
Si  0.5000  0.5000  0.2099
W  0.5000  0.5000  0.7090

7.
SmDy3Y3: relaxed, PBE.

As for the density of states at the Fermi level: 14.69 states/eV/f.u. Its total DFT energy (no corrections) is -37.85 eV per formula unit.

a b c (Å): 9.6131 9.6131 5.6859
angles (deg): 90.00 90.00 120.00
Fractional coordinates of all 14 atoms:
Sm  0.3333  0.6667  0.2500
Sm  0.6667  0.3333  0.7500
Dy  0.0489  0.8123  0.2500
Dy  0.1877  0.2366  0.2500
Dy  0.2366  0.0489  0.7500
Dy  0.7634  0.9511  0.2500
Dy  0.8123  0.7634  0.7500
Dy  0.9511  0.1877  0.7500
Y  0.0957  0.6204  0.7500
Y  0.3796  0.4754  0.7500
Y  0.4754  0.0957  0.2500
Y  0.5246  0.9043  0.7500
Y  0.6204  0.5246  0.2500
Y  0.9043  0.3796  0.2500